Pr5Er4Sc2 | PBE | optimized geometry

Formation energy ... 0.227 eV per atom
DFT total energy ... -52.31 eV per cell
SG ... Immm (71)
Distance to the lowest polymorph of the same formula ... 1.64 eV/f.u.
Crystal system ... orthorhombic

abc: 3.4643 11.2845 11.1713
angles: 120.34 98.92 90.00
Closest atoms and distances in Å follow each position.
Element x y z (fractional)
Sc: 0.7742 0.7742 0.5484  6 Pr 3.30-3.57, 2 Sc 3.46, 1 Er 3.53
Sc: 0.2258 0.2258 0.4516  6 Pr 3.30-3.57, 2 Sc 3.46, 1 Er 3.53
Pr: 0.8250 0.1043 0.6500  3 Sc 3.30-3.57, 3 Er 3.32-3.45, 4 Pr 3.40-3.46
Pr: 0.5000 0.0000 0.0000  2 Pr 3.46, 4 Er 3.58
Pr: 0.1750 0.8957 0.3500  3 Sc 3.30-3.57, 3 Er 3.32-3.45, 4 Pr 3.40-3.46
Pr: 0.1750 0.4543 0.3500  3 Sc 3.30-3.57, 3 Er 3.32-3.45, 4 Pr 3.40-3.46
Pr: 0.8250 0.5457 0.6500  3 Sc 3.30-3.57, 3 Er 3.32-3.45, 4 Pr 3.40-3.46
Er: 0.0000 0.7227 0.0000  4 Pr 3.32-3.58, 6 Er 3.46-3.48
Er: 0.5881 0.5881 0.1763  7 Er 3.34-3.48, 4 Pr 3.45, 1 Sc 3.53
Er: 0.0000 0.2773 0.0000  4 Pr 3.32-3.58, 6 Er 3.46-3.48
Er: 0.4118 0.4119 0.8237  7 Er 3.34-3.48, 4 Pr 3.45, 1 Sc 3.53